A plane-wave DFT calculation with PBE-GGA was carried out for CeIr2Rh2 after structural relaxation.

Lattice parameters (Å, degrees): 3.9684 3.9684 23.2335 90.00 90.00 90.00
Closest atoms and distances in Å follow each position.
Space group I4/mmm (No. 139)
One atom of each set of equivalent atoms:
1 Ce 0.0000 0.0000 0.1207 (multiplicity 4)  4 Ir 3.01, 4 Rh 3.10
2 Ir 0.0000 0.0000 0.4262 (multiplicity 4)  5 Rh 2.40-2.62
3 Ir 0.0000 0.5000 0.2500 (multiplicity 4)  4 Rh 2.61, 4 Ir 2.81
4 Rh 0.0000 0.0000 0.3228 (multiplicity 4)  5 Ir 2.40-2.61
5 Rh 0.0000 0.5000 0.0000 (multiplicity 4)  4 Ir 2.62, 4 Rh 2.81

Calculated values
- DFT total energy (eV per formula unit) = -39.46